Crystalline AcCuAgHg at its relaxed geometry. Source: Alexandria, functional GGA-PBE.

Summary:
Its volume is 24.53 Å³/atom. Its formation energy is -116 meV per atom. The total DFT energy (no corrections) comes out at -2.9554 eV per atom.

abc: 5.1768 5.1768 5.1768
angles: 60.00 60.00 60.00
Element x y z (fractional)
Ag  0.5000  0.5000  0.5000
Hg  0.7500  0.7500  0.7500
Cu  0.2500  0.2500  0.2500
Ac  0.0000  0.0000  0.0000